[1]
A plane-wave DFT calculation with GGA-PBE was carried out for a relaxed ZnCd2Tc crystal.

abc: 2.9675 4.8525 9.8824
angles: 90.00 90.00 90.00
Space group Imm2 (No. 44)
One atom of each set of equivalent atoms:
Zn 0.0000 0.0000 0.0000
Cd 0.0000 0.0000 0.5314
Cd 0.0000 0.5000 0.7577
Tc 0.0000 0.5000 0.2836

- Total DFT energy (no corrections): -12.21 eV/f.u.

[2]
A plane-wave DFT calculation with GGA-PBE was carried out for a relaxed ZnCd2Tc crystal.

abc: 2.8669 2.8669 8.7297
angles: 90.00 90.00 90.00
Space group P4/mmm (No. 123)
One atom of each set of equivalent atoms:
Zn 0.0000 0.0000 0.0000
Cd 0.5000 0.5000 0.2551
Tc 0.0000 0.0000 0.5000

- Total DFT energy (no corrections): -12.03 eV/f.u.

[3]
A plane-wave DFT calculation with GGA-PBE was carried out for a relaxed ZnCd2Tc crystal.

abc: 2.8217 4.3440 5.7387
angles: 90.00 90.00 90.00
Space group Pmmm (No. 47)
One atom of each set of equivalent atoms:
Zn 0.0000 0.0000 0.0000
Cd 0.5000 0.5000 0.2555
Tc 0.0000 0.0000 0.5000

- Total DFT energy (no corrections): -12.08 eV/f.u.

[4]
A plane-wave DFT calculation with GGA-PBE was carried out for a relaxed ZnCd2Tc crystal.

abc: 6.5217 6.5217 6.5217
angles: 90.00 90.00 90.00
Space group F-43m (No. 216)
One atom of each set of equivalent atoms:
Zn 0.0000 0.0000 0.0000
Cd 0.0000 0.0000 0.5000
Cd 0.2500 0.2500 0.7500
Tc 0.2500 0.2500 0.2500

- Total DFT energy (no corrections): -11.83 eV/f.u.